# Au2I2Cl | Alexandria via LeMat-Bulk | PBE | relaxed
# total magnetic moment: 0.0000 μB/atom
# E_form (uncorrected): -20 meV/atom
data_Au2I2Cl
_chemical_formula_sum 'Au4 I4 Cl2'
_symmetry_space_group_name_H-M 'P 1'
_symmetry_Int_Tables_number 1
_symmetry_space_group_name_Hall 'P 1'
_cell_length_a 7.7154
_cell_length_b 7.7154
_cell_length_c 11.8153
_cell_angle_alpha 97.45
_cell_angle_beta 97.45
_cell_angle_gamma 31.23
loop_
_atom_site_label
_atom_site_fract_x
_atom_site_fract_y
_atom_site_fract_z
Au1 0.0384 0.0384 0.3756
Au2 0.3880 0.3880 0.0853
Au3 0.6120 0.6120 0.9147
Au4 0.9616 0.9616 0.6244
I1 0.1147 0.1147 0.7668
I2 0.3562 0.3562 0.5453
I3 0.6438 0.6438 0.4547
I4 0.8853 0.8853 0.2332
Cl1 0.3761 0.3761 0.8872
Cl2 0.6239 0.6239 0.1128